(1)
Material: HfTaMn2Os
Method: DFT, PBE-GGA
State: optimized geometry

DOS at the Fermi energy: 0.917 states/eV per atom
Mass density: 12.056 g cm⁻³
Energy of formation: 196.7 kJ per mole of atoms
E: -8.236 eV per atom

a = 4.2807 Å, b = 4.2807 Å, c = 4.9575 Å
α = 90.00°, β = 90.00°, γ = 90.00°
With the nearest neighbours (Å) after each atom.
Sites, in units of the cell vectors:
Hf 0.0000 0.0000 0.0000  4 Mn 2.14
Ta 0.0000 0.0000 0.5000  2 Hf 2.48
Mn 0.0000 0.5000 0.0000  2 Hf 2.14
Mn 0.5000 0.0000 0.0000  2 Hf 2.14
Os 0.5000 0.5000 0.5000  4 Ta 3.03, 8 Mn 3.27

***

(2)
Material: HoTmTeO6
Method: DFT, PBE-GGA
State: optimized geometry

DOS at the Fermi energy: 0.000 states/eV per atom
Raw formation energy: -2.492 eV/atom
Mass density: 7.497 g cm⁻³
E: -7.152 eV per atom

a = 5.4858 Å, b = 5.4858 Å, c = 9.4754 Å
α = 90.00°, β = 90.00°, γ = 120.00°
With the nearest neighbours (Å) after each atom.
Sites, in units of the cell vectors:
Ho 0.0000 0.0000 0.0000  6 O 2.31
Ho 0.0000 0.0000 0.5000  6 O 2.31
Tm 0.3333 0.6667 0.2500  6 O 2.23
Tm 0.6667 0.3333 0.7500  6 O 2.23
Te 0.3333 0.6667 0.7500  6 O 1.96
Te 0.6667 0.3333 0.2500  6 O 1.96
O 0.0382 0.3691 0.6348  1 Te 1.96
O 0.0382 0.6691 0.8652  1 Te 1.96
O 0.3309 0.3691 0.8652  1 Te 1.96
O 0.3309 0.9618 0.6348  1 Te 1.96
O 0.3691 0.0382 0.1348  1 Te 1.96
O 0.3691 0.3309 0.3652  1 Te 1.96
O 0.6309 0.6691 0.6348  1 Te 1.96
O 0.6309 0.9618 0.8652  1 Te 1.96
O 0.6691 0.0382 0.3652  1 Te 1.96
O 0.6691 0.6309 0.1348  1 Te 1.96
O 0.9618 0.3309 0.1348  1 Te 1.96
O 0.9618 0.6309 0.3652  1 Te 1.96

***

(3)
Material: SmBI
Method: DFT, PBE-GGA
State: optimized geometry

DOS at the Fermi energy: 0.334 states/eV per atom
Raw formation energy: -0.130 eV/atom
Mass density: 5.258 g cm⁻³
E: -4.446 eV per atom

a = 9.0156 Å, b = 9.0156 Å, c = 9.0156 Å
α = 150.94°, β = 149.17°, γ = 42.88°
With the nearest neighbours (Å) after each atom.
Sites, in units of the cell vectors:
Sm 0.1125 0.1125 0.0000  2 B 2.42
Sm 0.8875 0.8875 0.0000  2 B 2.42
B 0.0000 0.3337 0.3337  1 B 1.50
B 0.0000 0.6663 0.6663  1 B 1.50
I 0.3226 0.3226 0.0000  5 Sm 3.47-3.53
I 0.6774 0.6774 0.0000  5 Sm 3.47-3.53

***

(4)
Material: TbAl2GaRh2
Method: DFT, PBE-GGA
State: optimized geometry

DOS at the Fermi energy: 0.922 states/eV per atom
Mass density: 6.940 g cm⁻³
Energy of formation: -42.0 kJ per mole of atoms
E: -5.409 eV per atom

a = 4.5752 Å, b = 4.5752 Å, c = 5.5832 Å
α = 90.00°, β = 90.00°, γ = 90.00°
With the nearest neighbours (Å) after each atom.
Sites, in units of the cell vectors:
Tb 0.0000 0.0000 0.0000  2 Ga 2.79
Al 0.5000 0.5000 0.2479  4 Rh 2.69, 2 Al 2.77-2.82
Al 0.5000 0.5000 0.7521  4 Rh 2.69, 2 Al 2.77-2.82
Ga 0.0000 0.0000 0.5000  4 Rh 2.29
Rh 0.0000 0.5000 0.5000  2 Ga 2.29
Rh 0.5000 0.0000 0.5000  2 Ga 2.29

***

(5)
Material: SrCd2Cu
Method: DFT, PBE-GGA
State: optimized geometry

DOS at the Fermi energy: 0.475 states/eV per atom
Mass density: 6.003 g cm⁻³
Energy of formation: -6.0 kJ per mole of atoms
E: -1.964 eV per atom

a = 3.9607 Å, b = 4.3883 Å, c = 6.2864 Å
α = 90.00°, β = 107.86°, γ = 90.00°
With the nearest neighbours (Å) after each atom.
Sites, in units of the cell vectors:
Sr 0.0000 0.0000 0.0000  4 Cu 3.21, 3 Cd 3.25-3.38
Cd 0.2749 0.0000 0.5434  2 Cu 2.65
Cd 0.6885 0.5000 0.3739  4 Cd 3.12-3.13, 3 Cu 3.18-3.48
Cu 0.3992 0.5000 0.7925  2 Cd 2.65

***

(6)
Material: Tb2PrMg5
Method: DFT, PBE-GGA
State: optimized geometry

DOS at the Fermi energy: 0.780 states/eV per atom
Mass density: 4.485 g cm⁻³
Energy of formation: -8.8 kJ per mole of atoms
E: -2.843 eV per atom

a = 8.5218 Å, b = 8.5218 Å, c = 8.5218 Å
α = 143.78°, β = 143.78°, γ = 52.16°
With the nearest neighbours (Å) after each atom.
Sites, in units of the cell vectors:
Tb 0.2408 0.2408 0.0000  8 Mg 3.21-3.38
Tb 0.7592 0.7592 0.0000  8 Mg 3.21-3.38
Pr 0.5000 0.5000 0.0000  8 Mg 3.24
Mg 0.0000 0.0000 0.0000  8 Mg 3.24
Mg 0.1220 0.6220 0.5000  4 Tb 3.21-3.38, 2 Mg 3.24, 2 Pr 3.24
Mg 0.3780 0.8780 0.5000  4 Tb 3.21-3.38, 2 Pr 3.24, 2 Mg 3.24
Mg 0.6220 0.1220 0.5000  4 Tb 3.21-3.38, 2 Mg 3.24, 2 Pr 3.24
Mg 0.8780 0.3780 0.5000  4 Tb 3.21-3.38, 2 Pr 3.24, 2 Mg 3.24